# Sr2Ag2Au

An optimized crystal structure of Sr2Ag2Au (PBE-GGA, the Alexandria database).

Summary:
Raw total energy   -13.49 eV/f.u.
Total magnetization   0.00 μB per formula unit

```
data_Sr2Ag2Au
_cell_length_a 8.508
_cell_length_b 8.508
_cell_length_c 4.356
_cell_angle_alpha 90.00
_cell_angle_beta 90.00
_cell_angle_gamma 90.00
_symmetry_space_group_name_H-M 'P 4/m b m'
_symmetry_Int_Tables_number 127
_symmetry_space_group_name_Hall '-P 4 2ab'
loop_
_atom_site_label
_atom_site_type_symbol
_atom_site_fract_x
_atom_site_fract_y
_atom_site_fract_z
_atom_site_occupancy
Sr1 Sr 0.176 0.324 0.000 1
Ag1 Ag 0.118 0.618 0.500 1
Au1 Au 0.000 0.000 0.000 1
```